1.
La3Pm8Dy | PBE-GGA | optimized geometry

Cell: 8.9030 8.9030 11.5336 Å, 90.00 90.00 90.00°
Closest atoms and distances in Å follow each position.
Space group I-42m (No. 121)
Unique sites:
La 0.0000 0.0000 0.0000 (multiplicity 2)  8 Pm 3.17-3.28
La 0.0000 0.5000 0.2500 (multiplicity 4)  4 Pm 3.54
Pm 0.1220 0.1220 0.7484 (multiplicity 8)  3 Pm 3.07-3.33, 1 Dy 3.25, 1 La 3.28
Pm 0.2482 0.2482 0.4948 (multiplicity 8)  1 Dy 3.13, 1 La 3.17, 2 Pm 3.28-3.33
Dy 0.0000 0.0000 0.5000 (multiplicity 2)  8 Pm 3.13-3.25



2.
La15Pm4Dy | PBE-GGA | optimized geometry

Cell: 5.2332 5.2332 26.2449 Å, 90.00 90.00 90.00°
Closest atoms and distances in Å follow each position.
Space group P4/mmm (No. 123)
Unique sites:
La 0.0000 0.0000 0.0000 (multiplicity 1)  8 La 3.69, 4 Dy 3.70
La 0.0000 0.0000 0.1993 (multiplicity 2)  4 Pm 3.70, 8 La 3.71
La 0.0000 0.0000 0.3999 (multiplicity 2)  4 Pm 3.70, 8 La 3.71
La 0.0000 0.5000 0.0991 (multiplicity 4)  8 La 3.69-3.71, 2 Dy 3.69, 2 Pm 3.71
La 0.0000 0.5000 0.2994 (multiplicity 4)  8 La 3.70-3.71, 4 Pm 3.71
La 0.0000 0.5000 0.5000 (multiplicity 2)  8 La 3.70-3.71, 4 Pm 3.71
Pm 0.5000 0.5000 0.1992 (multiplicity 2)  12 La 3.70-3.71
Pm 0.5000 0.5000 0.3998 (multiplicity 2)  12 La 3.70-3.71
Dy 0.5000 0.5000 0.0000 (multiplicity 1)  12 La 3.69-3.70



3.
La3Pm5Dy4 | PBE-GGA | optimized geometry

relative energy among the computed polymorphs	0	meV/atom

Cell: 6.3166 7.2592 8.9257 Å, 90.06 90.14 90.03°
Closest atoms and distances in Å follow each position.
Space group P-1 (No. 2)
Unique sites:
La 0.0000 0.0000 0.0000 (multiplicity 1)  8 Pm 3.63-3.66, 2 La 3.66, 2 Dy 3.66
La 0.1654 0.7473 0.6655 (multiplicity 2)  6 Dy 3.60-3.66, 5 Pm 3.64-3.66, 1 La 3.66
Pm 0.0000 0.5000 0.0000 (multiplicity 1)  4 Pm 3.62-3.65, 4 La 3.63-3.64, 4 Dy 3.65
Pm 0.3339 0.0005 0.3346 (multiplicity 2)  3 Pm 3.62-3.67, 5 Dy 3.62-3.67, 4 La 3.64-3.65
Pm 0.4977 0.2525 0.0001 (multiplicity 2)  6 Pm 3.59-3.67, 3 Dy 3.63-3.64, 3 La 3.64-3.66
Dy 0.1692 0.2516 0.6655 (multiplicity 2)  4 La 3.60-3.66, 3 Dy 3.61-3.65, 5 Pm 3.62-3.67
Dy 0.3339 0.5012 0.3341 (multiplicity 2)  4 Dy 3.61-3.65, 3 La 3.62-3.64, 5 Pm 3.62-3.65



4.
LaPm3Dy2 | PBE-GGA | optimized geometry

relative energy among the computed polymorphs	290	meV/atom

Cell: 3.4967 5.9839 19.8330 Å, 90.00 90.00 90.00°
Closest atoms and distances in Å follow each position.
Space group Immm (No. 71)
Unique sites:
La 0.0000 0.0000 0.0000 (multiplicity 2)  2 Pm 2.99
Pm 0.0000 0.0000 0.1926 (multiplicity 4)  5 Dy 3.36-3.63, 2 Pm 3.50
Pm 0.0000 0.5000 0.0000 (multiplicity 2)  2 La 2.99, 4 Dy 3.25
Dy 0.0000 0.0000 0.3619 (multiplicity 4)  7 Pm 3.25-3.63, 2 Dy 3.50



5.
La7PmDy4 | PBE-GGA | optimized geometry

relative energy among the computed polymorphs	181	meV/atom

Cell: 16.4191 6.1084 9.7029 Å, 90.00 118.46 90.00°
Closest atoms and distances in Å follow each position.
Space group C2/m (No. 12)
Unique sites:
La 0.0000 0.0000 0.0000 (multiplicity 2)  2 Pm 3.05, 2 Dy 3.29
La 0.0890 0.5000 0.4577 (multiplicity 4)  3 La 3.39-3.70, 5 Dy 3.52-3.80
La 0.2126 0.5000 0.8913 (multiplicity 4)  6 La 3.42-3.71, 2 Dy 3.78
La 0.2225 0.5000 0.2509 (multiplicity 4)  4 Dy 3.28-3.51, 1 Pm 3.29, 2 La 3.42-3.61
Pm 0.0000 0.5000 0.0000 (multiplicity 2)  4 La 3.05-3.29
Dy 0.0654 0.0000 0.7021 (multiplicity 4)  2 La 3.29-3.53, 2 Dy 3.46-3.56
Dy 0.1674 0.0000 0.3647 (multiplicity 4)  7 La 3.28-3.59, 1 Dy 3.56



6.
La3Pm2Dy | PBE-GGA | optimized geometry

relative energy among the computed polymorphs	513	meV/atom

Cell: 11.3351 11.9888 7.0592 Å, 90.00 90.00 90.00°
Closest atoms and distances in Å follow each position.
Space group Ibam (No. 72)
Unique sites:
La 0.0000 0.0000 0.2500 (multiplicity 4)  4 La 3.16-3.53
La 0.0000 0.2634 0.2500 (multiplicity 8)  3 La 3.16-3.53, 2 Dy 3.34, 4 Pm 3.39-3.40
Pm 0.2466 0.2016 0.0000 (multiplicity 8)  4 La 3.39-3.40, 2 Pm 3.72, 1 Dy 3.75
Dy 0.0000 0.5000 0.0000 (multiplicity 4)  4 La 3.34, 2 Dy 3.53



7.
LaPm6Dy2 | PBE-GGA | optimized geometry

relative energy among the computed polymorphs	0	meV/atom

Cell: 3.6480 8.9145 9.6269 Å, 90.42 100.91 90.09°
Closest atoms and distances in Å follow each position.
Space group P-1 (No. 2)
Unique sites:
La 0.0000 0.0000 0.0000 (multiplicity 1)  2 La 3.65, 4 Dy 3.65, 6 Pm 3.65-3.66
Pm 0.1106 0.6643 0.2202 (multiplicity 2)  4 Dy 3.59-3.63, 7 Pm 3.62-3.68, 1 La 3.66
Pm 0.2213 0.3356 0.4424 (multiplicity 2)  10 Pm 3.61-3.68, 2 Dy 3.62
Pm 0.3322 0.0010 0.6652 (multiplicity 2)  9 Pm 3.62-3.66, 2 La 3.65, 1 Dy 3.68
Dy 0.4442 0.6644 0.8887 (multiplicity 2)  7 Pm 3.59-3.68, 3 Dy 3.62-3.65, 2 La 3.65



8.
La12Pm6Dy | PBE-GGA | optimized geometry

Cell: 16.0941 16.0941 9.1009 Å, 90.00 90.00 120.00°
Closest atoms and distances in Å follow each position.
Space group R-3 (No. 148, hexagonal axes)
Unique sites:
La 0.0351 0.2799 0.3354 (multiplicity 18)  4 Pm 3.68-3.73, 8 La 3.69-3.72
La 0.0713 0.5616 0.6660 (multiplicity 18)  1 Dy 3.68, 8 La 3.68-3.72, 3 Pm 3.70-3.74
Pm 0.0170 0.1384 0.6672 (multiplicity 18)  4 Pm 3.64-3.70, 7 La 3.68-3.74, 1 Dy 3.69
Dy 0.0000 0.0000 0.0000 (multiplicity 3)  6 La 3.68, 6 Pm 3.69



9.
La2Pm7Dy | PBE-GGA | optimized geometry

relative energy among the computed polymorphs	224	meV/atom

Cell: 11.9854 16.8484 3.5643 Å, 90.00 90.00 90.00°
Closest atoms and distances in Å follow each position.
Space group Cmmm (No. 65)
Unique sites:
La 0.0000 0.1735 0.0000 (multiplicity 4)  4 Pm 3.12-3.13, 2 Dy 3.42
Pm 0.0000 0.3259 0.5000 (multiplicity 4)  2 La 3.13, 2 Pm 3.43
Pm 0.0000 0.5000 0.0000 (multiplicity 2)  10 Pm 3.43-3.64
Pm 0.2485 0.3754 0.0000 (multiplicity 8)  1 La 3.12
Dy 0.0000 0.0000 0.5000 (multiplicity 2)  4 La 3.42, 2 Dy 3.56



10.
La2Pm2Dy | PBE-GGA | optimized geometry

relative energy among the computed polymorphs	0	meV/atom

Cell: 3.6672 5.1659 18.3810 Å, 90.00 90.00 90.00°
Closest atoms and distances in Å follow each position.
Space group Immm (No. 71)
Unique sites:
La 0.0000 0.0000 0.0988 (multiplicity 4)  3 La 3.63-3.67, 4 Dy 3.65, 5 Pm 3.68-3.69
Pm 0.0000 0.0000 0.2994 (multiplicity 4)  6 Pm 3.65-3.67, 5 La 3.68-3.69, 1 Dy 3.69
Dy 0.0000 0.0000 0.5000 (multiplicity 2)  8 La 3.65, 2 Dy 3.67, 2 Pm 3.69



11.
La7Pm2Dy3 | PBE-GGA | optimized geometry

Cell: 6.5744 3.5998 17.8631 Å, 90.00 95.52 90.00°
Closest atoms and distances in Å follow each position.
Space group P2/m (No. 10)
Unique sites:
La 0.0000 0.0000 0.0000 (multiplicity 1)  8 La 3.60-3.74, 4 Dy 3.75
La 0.2277 0.5000 0.1719 (multiplicity 2)  1 Pm 3.55, 8 La 3.60-3.78, 3 Dy 3.67-3.70
La 0.2617 0.5000 0.4907 (multiplicity 2)  2 La 3.12-3.49, 1 Pm 3.39
La 0.2791 0.0000 0.8339 (multiplicity 2)  7 La 3.60-3.78, 2 Pm 3.63, 3 Dy 3.65-3.67
Pm 0.0587 0.5000 0.6696 (multiplicity 2)  5 La 3.39-3.63, 2 Pm 3.60, 2 Dy 3.67
Dy 0.4576 0.0000 0.3380 (multiplicity 2)  2 Dy 3.60, 7 La 3.61-3.86, 4 Pm 3.67-3.83
Dy 0.5000 0.5000 0.0000 (multiplicity 1)  2 Dy 3.60, 10 La 3.65-3.75



12.
La5Pm4Dy | PBE-GGA | optimized geometry

relative energy among the computed polymorphs	102	meV/atom

Cell: 6.6304 6.8884 8.4828 Å, 78.56 70.93 87.03°
Closest atoms and distances in Å follow each position.
Space group P-1 (No. 2)
Unique sites:
La 0.0000 0.0000 0.0000 (multiplicity 1)  2 Dy 3.32, 2 La 3.53
La 0.1025 0.7656 0.4481 (multiplicity 2)  5 La 3.58-3.80, 4 Pm 3.67-3.80, 1 Dy 3.93
La 0.3479 0.3666 0.6984 (multiplicity 2)  3 Pm 3.32-3.55, 3 La 3.50-3.58, 1 Dy 3.58
Pm 0.2139 0.4800 0.1059 (multiplicity 2)  5 La 3.51-3.83, 4 Pm 3.60-3.86, 1 Dy 3.84
Pm 0.4694 0.8340 0.6771 (multiplicity 2)  1 Dy 3.24, 2 La 3.32-3.55, 2 Pm 3.32-3.60
Dy 0.5000 0.0000 0.0000 (multiplicity 1)  2 Pm 3.24, 4 La 3.32-3.58



13.
La6Pm3Dy | PBE-GGA | optimized geometry

relative energy among the computed polymorphs	0	meV/atom

Cell: 11.7902 3.6025 17.7349 Å, 90.00 109.35 90.00°
Closest atoms and distances in Å follow each position.
Space group P2_1/m (No. 11)
Unique sites:
La 0.0473 0.2500 0.1062 (multiplicity 2)  3 Pm 3.48-3.80, 6 La 3.60-3.81, 2 Dy 3.87
La 0.1492 0.2500 0.7986 (multiplicity 2)  2 Pm 3.31-3.35, 1 Dy 3.44, 2 La 3.60
La 0.2568 0.2500 0.5054 (multiplicity 2)  2 Pm 3.30-3.51, 3 La 3.45-3.60
La 0.3469 0.7500 0.1922 (multiplicity 2)  3 Pm 3.47-3.70, 1 Dy 3.59, 8 La 3.60-3.83
La 0.4450 0.7500 0.9003 (multiplicity 2)  5 Pm 3.48-3.81, 8 La 3.60-3.82
La 0.4470 0.2500 0.3939 (multiplicity 2)  7 La 3.45-3.83, 2 Dy 3.75, 2 Pm 3.85
Pm 0.0532 0.7500 0.6009 (multiplicity 2)  5 La 3.51-3.82, 6 Pm 3.60-3.83, 2 Dy 3.76
Pm 0.2461 0.2500 0.9988 (multiplicity 2)  5 La 3.35-3.70, 2 Pm 3.60
Pm 0.3474 0.2500 0.7026 (multiplicity 2)  3 La 3.30-3.47, 2 Pm 3.60
Dy 0.1526 0.7500 0.3108 (multiplicity 2)  6 La 3.44-3.75, 2 Dy 3.60, 2 Pm 3.76



14.
LaPm3Dy3 | PBE-GGA | optimized geometry

relative energy among the computed polymorphs	171	meV/atom

Cell: 8.7517 8.7517 22.2497 Å, 90.00 90.00 120.00°
Closest atoms and distances in Å follow each position.
Space group R-3 (No. 148, hexagonal axes)
Unique sites:
La 0.0000 0.0000 0.1529 (multiplicity 6)  6 Dy 3.59-3.85, 6 Pm 3.73-3.81
Pm 0.0515 0.6033 0.3800 (multiplicity 18)  4 Dy 3.34-3.66, 2 Pm 3.64, 1 La 3.73
Dy 0.0048 0.7741 0.5589 (multiplicity 18)  4 Dy 3.29-3.46, 4 Pm 3.34-3.66, 1 La 3.59



15.
LaPm7Dy4 | PBE-GGA | optimized geometry

Cell: 6.3334 7.3096 9.0145 Å, 89.99 76.37 90.00°
Closest atoms and distances in Å follow each position.
Space group P-1 (No. 2)
Unique sites:
La 0.0000 0.0000 0.0000 (multiplicity 1)  2 Dy 3.62, 10 Pm 3.62-3.67
Pm 0.0000 0.5000 0.0000 (multiplicity 1)  4 Dy 3.60-3.61, 6 Pm 3.61-3.64, 2 La 3.65
Pm 0.2230 0.9996 0.3353 (multiplicity 2)  6 Pm 3.58-3.68, 5 Dy 3.60-3.68, 1 La 3.62
Pm 0.2800 0.7478 0.6640 (multiplicity 2)  6 Dy 3.57-3.70, 5 Pm 3.58-3.68, 1 La 3.63
Pm 0.5003 0.2534 0.9991 (multiplicity 2)  3 Dy 3.60-3.61, 7 Pm 3.60-3.71, 2 La 3.67
Dy 0.2187 0.4998 0.3348 (multiplicity 2)  4 Dy 3.56-3.66, 8 Pm 3.58-3.66
Dy 0.2784 0.2539 0.6655 (multiplicity 2)  8 Pm 3.57-3.70, 3 Dy 3.58-3.66, 1 La 3.62



16.
LaPmDy3 | PBE-GGA | optimized geometry

relative energy among the computed polymorphs	0	meV/atom

Cell: 6.6020 6.7570 8.2272 Å, 74.47 72.36 84.41°
Closest atoms and distances in Å follow each position.
Space group P-1 (No. 2)
Unique sites:
La 0.0981 0.2930 0.1426 (multiplicity 2)  6 Dy 3.44-3.80, 1 La 3.55, 2 Pm 3.78-3.81
Pm 0.1159 0.2504 0.6705 (multiplicity 2)  6 Dy 3.33-3.63
Dy 0.3260 0.8420 0.9932 (multiplicity 2)  5 Dy 3.33-3.56, 1 Pm 3.33, 3 La 3.59-3.72
Dy 0.3311 0.9152 0.4045 (multiplicity 2)  6 Dy 3.37-3.74, 1 La 3.44, 3 Pm 3.48-3.63
Dy 0.4930 0.5427 0.7066 (multiplicity 2)  6 Dy 3.37-3.74, 2 Pm 3.43-3.45, 1 La 3.66



17.
La4Pm2Dy3 | PBE-GGA | optimized geometry

relative energy among the computed polymorphs	0	meV/atom

Cell: 6.3167 6.3231 9.6681 Å, 71.33 71.36 60.06°
Closest atoms and distances in Å follow each position.
Space group P-1 (No. 2)
Unique sites:
La 0.1665 0.1698 0.9995 (multiplicity 2)  5 La 3.62-3.68, 5 Dy 3.63-3.67, 2 Pm 3.65-3.70
La 0.2822 0.6098 0.6655 (multiplicity 2)  5 Dy 3.62-3.68, 3 La 3.63-3.68, 4 Pm 3.63-3.66
Pm 0.0539 0.7215 0.3344 (multiplicity 2)  6 La 3.63-3.70, 5 Dy 3.64-3.67, 1 Pm 3.65
Dy 0.3894 0.0573 0.3340 (multiplicity 2)  6 La 3.62-3.68, 2 Dy 3.63-3.67, 4 Pm 3.64-3.67
Dy 0.5000 0.5000 0.0000 (multiplicity 1)  8 La 3.63-3.67, 2 Dy 3.67, 2 Pm 3.67



18.
La7Pm2Dy | PBE-GGA | optimized geometry

relative energy among the computed polymorphs	0	meV/atom

Cell: 12.1857 17.1676 3.5738 Å, 90.00 90.00 90.00°
Closest atoms and distances in Å follow each position.
Space group Cmmm (No. 65)
Unique sites:
La 0.0000 0.0000 0.0000 (multiplicity 2)  10 La 3.57-3.72
La 0.0000 0.1808 0.5000 (multiplicity 4)  2 Pm 3.16
La 0.2459 0.1282 0.0000 (multiplicity 8)  1 Pm 3.17
Pm 0.0000 0.3327 0.0000 (multiplicity 4)  4 La 3.16-3.17, 2 Dy 3.38
Dy 0.0000 0.5000 0.5000 (multiplicity 2)  4 Pm 3.38, 2 Dy 3.57



19.
La6Pm3Dy | PBE-GGA | optimized geometry

relative energy among the computed polymorphs	75	meV/atom

Cell: 10.9521 19.5959 6.6374 Å, 90.00 90.00 90.00°
Closest atoms and distances in Å follow each position.
Space group Cmc2_1 (No. 36)
Unique sites:
La 0.0000 0.0312 0.0000 (multiplicity 4)  1 Dy 3.50, 4 La 3.54-3.82, 4 Pm 3.59-3.66
La 0.0000 0.2823 0.1927 (multiplicity 4)  2 La 3.11, 1 Pm 3.43, 1 Dy 3.49
La 0.1732 0.4604 0.2983 (multiplicity 8)  3 Pm 3.53-3.59, 5 La 3.55-3.82
La 0.2220 0.2927 0.4838 (multiplicity 8)  1 La 3.11, 1 Pm 3.40, 1 Dy 3.45
Pm 0.0000 0.3841 0.7722 (multiplicity 4)  5 La 3.43-3.59, 2 Pm 3.64
Pm 0.1756 0.1190 0.3905 (multiplicity 8)  1 Dy 3.34, 6 La 3.40-3.66, 1 Pm 3.64
Dy 0.0000 0.1878 0.7477 (multiplicity 4)  2 Pm 3.34, 6 La 3.45-3.63



20.
La2Pm2Dy3 | PBE-GGA | optimized geometry

relative energy among the computed polymorphs	0	meV/atom

Cell: 17.1719 3.5208 8.8682 Å, 90.00 116.74 90.00°
Closest atoms and distances in Å follow each position.
Space group C2/m (No. 12)
Unique sites:
La 0.0806 0.0000 0.2070 (multiplicity 4)  4 Dy 3.45-3.54, 3 La 3.46-3.52, 2 Pm 3.71
Pm 0.1404 0.5000 0.9055 (multiplicity 4)  4 Pm 3.52-3.80, 5 Dy 3.62-3.75, 4 La 3.71-3.88
Dy 0.0000 0.0000 0.5000 (multiplicity 2)  4 Dy 3.39-3.52, 2 La 3.45, 4 Pm 3.75
Dy 0.2196 0.0000 0.6443 (multiplicity 4)  5 Dy 3.39-3.62, 3 La 3.52-3.54, 3 Pm 3.62-3.63



no.,calculated formation energy (eV/atom)
1,0.534
2,0.011
3,0.021
4,0.307
5,0.197
6,0.531
7,0.018
8,0.018
9,0.368
10,0.023
11,0.060
12,0.122
13,0.040
14,0.198
15,0.005
16,0.078
17,0.023
18,0.315
19,0.115
20,0.129